[1]
Density functional theory data (PBE) for an optimized crystal structure of MgSiW3.

## Properties
* ΔE_f (raw): 2.650 eV per atom
* distance to the lowest polymorph of the same formula: 1415 meV/atom
* D(E_F): 5.89 states/eV per cell

a b c (Å): 4.538 4.538 4.538
angles (deg): 90.00 90.00 90.00
Space group Pm-3m (No. 221)
Asymmetric unit:
Mg 0.000 0.000 0.000 (multiplicity 1)
Si 0.500 0.500 0.500 (multiplicity 1)
W 0.000 0.000 0.500 (multiplicity 3)



[2]
Density functional theory data (PBE) for an optimized crystal structure of Li2ZnCo.

## Properties
* formation energy: 2.336 kcal/mol of atoms
* D(E_F): 4.72 states/eV per cell

a b c (Å): 2.647 4.471 8.863
angles (deg): 90.00 90.00 90.00
Space group Imm2 (No. 44)
Asymmetric unit:
Li 0.000 0.000 0.000 (multiplicity 2)
Li 0.000 0.500 0.239 (multiplicity 2)
Zn 0.000 0.500 0.753 (multiplicity 2)
Co 0.000 0.000 0.489 (multiplicity 2)



[3]
Density functional theory data (PBE) for an optimized crystal structure of PmNdGePd.

## Properties
* formation energy: -16.804 kcal/mol of atoms
* distance to the lowest polymorph of the same formula: 94 meV/atom
* D(E_F): 7.80 states/eV per cell

a b c (Å): 7.305 7.305 7.305
angles (deg): 90.00 90.00 90.00
Space group F-43m (No. 216)
Asymmetric unit:
Pm 0.000 0.000 0.000 (multiplicity 4)
Nd 0.000 0.000 0.500 (multiplicity 4)
Ge 0.250 0.250 0.750 (multiplicity 4)
Pd 0.250 0.250 0.250 (multiplicity 4)



[4]
Density functional theory data (PBE) for an optimized crystal structure of BeMo2Cl.

## Properties
* ΔE_f (raw): 0.250 eV per atom
* distance to the lowest polymorph of the same formula: 30 meV/atom
* D(E_F): 2.70 states/eV per cell

a b c (Å): 3.157 2.999 6.772
angles (deg): 90.00 90.07 90.00
Space group P2/m (No. 10)
Asymmetric unit:
Be 0.000 0.000 0.000 (multiplicity 1)
Mo 0.499 0.500 0.825 (multiplicity 2)
Cl 0.500 0.000 0.500 (multiplicity 1)



[5]
Density functional theory data (PBE) for an optimized crystal structure of Na2ZrPaTe4.

## Properties
* ΔE_f (raw): -0.886 eV per atom
* D(E_F): 6.90 states/eV per cell

a b c (Å): 7.215 4.212 8.279
angles (deg): 90.00 107.05 90.00
Space group P2/m (No. 10)
Asymmetric unit:
Na 0.000 0.000 0.000 (multiplicity 1)
Na 0.500 0.500 0.000 (multiplicity 1)
Zr 0.000 0.500 0.500 (multiplicity 1)
Pa 0.500 0.000 0.500 (multiplicity 1)
Te 0.233 0.000 0.729 (multiplicity 2)
Te 0.243 0.500 0.263 (multiplicity 2)



What is the formula in the fourth record? BeMo2Cl